Entry from Alexandria via LeMat-Bulk: a relaxed Hf2NbBiCl crystal (PBE).

abc: 5.2907 5.2907 4.6329
angles: 90.00 90.00 90.00
With the nearest neighbours (Å) after each atom.
Space group P4/mmm (No. 123)
Symmetry-distinct sites (fractional):
Hf: 0.0000 0.5000 0.0000 x2  2 Nb 2.65
Nb: 0.0000 0.0000 0.0000 x1  2 Cl 2.32
Bi: 0.5000 0.5000 0.5000 x1  8 Hf 3.52, 4 Cl 3.74
Cl: 0.0000 0.0000 0.5000 x1  2 Nb 2.32

Values from the calculation:
Uncorrected formation energy in meV/atom: 559
Calculated volume in A^3/atom: 25.9
Total magnetization in μB/f.u.: 0.00